# Cs2TePdBr6 GGA-PBE relaxed
data_Cs2TePdBr6
_chemical_formula_sum 'Cs2 Te1 Pd1 Br6'
_cell_length_a 7.856
_cell_length_b 7.856
_cell_length_c 7.874
_cell_angle_alpha 60.08
_cell_angle_beta 60.08
_cell_angle_gamma 90.00
_symmetry_space_group_name_H-M 'P 1'
_symmetry_Int_Tables_number 1
loop_
_symmetry_equiv_pos_as_xyz
'x,y,z'
loop_
_atom_site_label
_atom_site_fract_x
_atom_site_fract_y
_atom_site_fract_z
Pd1 0.500 0.500 0.000
Cs1 0.750 0.250 0.500
Cs2 0.250 0.750 0.500
Br1 0.740 0.260 0.000
Br2 0.259 0.259 0.483
Br3 0.741 0.741 0.517
Br4 0.260 0.260 0.000
Br5 0.260 0.740 0.000
Br6 0.740 0.740 0.000
Te1 0.000 0.000 0.000
# * energy: -2.921 eV per atom
# * formation energy without anion corrections: -0.913 eV/atom
# * magnetization: 0.0 μB per formula unit

---

# Cs3TlPd2Br9 GGA-PBE relaxed
data_Cs3TlPd2Br9
_chemical_formula_sum 'Cs3 Tl1 Pd2 Br9'
_cell_length_a 7.785
_cell_length_b 7.785
_cell_length_c 9.557
_cell_angle_alpha 90.00
_cell_angle_beta 90.00
_cell_angle_gamma 120.00
_symmetry_space_group_name_H-M 'P 1'
_symmetry_Int_Tables_number 1
loop_
_symmetry_equiv_pos_as_xyz
'x,y,z'
loop_
_atom_site_label
_atom_site_fract_x
_atom_site_fract_y
_atom_site_fract_z
Br1 0.177 0.354 0.314
Br2 0.646 0.823 0.314
Br3 0.000 0.500 0.000
Br4 0.354 0.177 0.686
Br5 0.823 0.646 0.686
Br6 0.177 0.823 0.314
Br7 0.500 0.000 0.000
Br8 0.500 0.500 0.000
Br9 0.823 0.177 0.686
Tl1 0.000 0.000 0.500
Cs1 0.000 0.000 0.000
Cs2 0.333 0.667 0.669
Cs3 0.667 0.333 0.331
Pd1 0.333 0.667 0.152
Pd2 0.667 0.333 0.848
# * energy: -3.007 eV per atom
# * formation energy without anion corrections: -0.982 eV/atom
# * magnetization: 0.0 μB per formula unit

---

# Cs2TlPdBr6 GGA-PBE relaxed
data_Cs2TlPdBr6
_chemical_formula_sum 'Cs2 Tl1 Pd1 Br6'
_cell_length_a 7.964
_cell_length_b 7.964
_cell_length_c 7.963
_cell_angle_alpha 59.99
_cell_angle_beta 59.99
_cell_angle_gamma 90.00
_symmetry_space_group_name_H-M 'P 1'
_symmetry_Int_Tables_number 1
loop_
_symmetry_equiv_pos_as_xyz
'x,y,z'
loop_
_atom_site_label
_atom_site_fract_x
_atom_site_fract_y
_atom_site_fract_z
Br1 0.732 0.732 0.000
Br2 0.268 0.268 0.000
Br3 0.732 0.268 0.000
Br4 0.268 0.732 0.000
Br5 0.731 0.731 0.538
Br6 0.269 0.269 0.462
Cs1 0.750 0.250 0.500
Cs2 0.250 0.750 0.500
Tl1 0.000 0.000 0.000
Pd1 0.500 0.500 0.000
# * energy: -2.953 eV per atom
# * formation energy without anion corrections: -1.023 eV/atom
# * magnetization: 0.0 μB per formula unit

---

What did the third record say?
# Cs2TlPdBr6 GGA-PBE relaxed
data_Cs2TlPdBr6
_chemical_formula_sum 'Cs2 Tl1 Pd1 Br6'
_cell_length_a 7.964
_cell_length_b 7.964
_cell_length_c 7.963
_cell_angle_alpha 59.99
_cell_angle_beta 59.99
_cell_angle_gamma 90.00
_symmetry_space_group_name_H-M 'P 1'
_symmetry_Int_Tables_number 1
loop_
_symmetry_equiv_pos_as_xyz
'x,y,z'
loop_
_atom_site_label
_atom_site_fract_x
_atom_site_fract_y
_atom_site_fract_z
Br1 0.732 0.732 0.000
Br2 0.268 0.268 0.000
Br3 0.732 0.268 0.000
Br4 0.268 0.732 0.000
Br5 0.731 0.731 0.538
Br6 0.269 0.269 0.462
Cs1 0.750 0.250 0.500
Cs2 0.250 0.750 0.500
Tl1 0.000 0.000 0.000
Pd1 0.500 0.500 0.000
# * energy: -2.953 eV per atom
# * formation energy without anion corrections: -1.023 eV/atom
# * magnetization: 0.0 μB per formula unit

---

> Look up the energy of the third one.

-2.953 eV per atom

---

Repeat the third record exactly.
# Cs2TlPdBr6 GGA-PBE relaxed
data_Cs2TlPdBr6
_chemical_formula_sum 'Cs2 Tl1 Pd1 Br6'
_cell_length_a 7.964
_cell_length_b 7.964
_cell_length_c 7.963
_cell_angle_alpha 59.99
_cell_angle_beta 59.99
_cell_angle_gamma 90.00
_symmetry_space_group_name_H-M 'P 1'
_symmetry_Int_Tables_number 1
loop_
_symmetry_equiv_pos_as_xyz
'x,y,z'
loop_
_atom_site_label
_atom_site_fract_x
_atom_site_fract_y
_atom_site_fract_z
Br1 0.732 0.732 0.000
Br2 0.268 0.268 0.000
Br3 0.732 0.268 0.000
Br4 0.268 0.732 0.000
Br5 0.731 0.731 0.538
Br6 0.269 0.269 0.462
Cs1 0.750 0.250 0.500
Cs2 0.250 0.750 0.500
Tl1 0.000 0.000 0.000
Pd1 0.500 0.500 0.000
# * energy: -2.953 eV per atom
# * formation energy without anion corrections: -1.023 eV/atom
# * magnetization: 0.0 μB per formula unit